(1)
Entry from Alexandria via LeMat-Bulk: a relaxed structure of CaHf2Ni2 (GGA-PBE).

Values from the calculation:
* offset from the most stable computed form: 28 meV/atom
* formation energy from the elements: -165 meV per atom

a = 7.6882 Å, b = 7.6882 Å, c = 3.2005 Å
α = 90.00°, β = 90.00°, γ = 90.00°
Positions (direct):
Ni (0.3757, 0.8757, 0.0000)
Ni (0.8757, 0.6243, 0.0000)
Ni (0.6243, 0.1243, 0.0000)
Ni (0.1243, 0.3757, 0.0000)
Ca (0.0000, 0.0000, 0.0000)
Ca (0.5000, 0.5000, 0.0000)
Hf (0.1523, 0.6523, 0.5000)
Hf (0.6523, 0.8477, 0.5000)
Hf (0.8477, 0.3477, 0.5000)
Hf (0.3477, 0.1523, 0.5000)

(2)
Entry from Alexandria via LeMat-Bulk: a relaxed structure of HfTiZnOs (GGA-PBE).

Values from the calculation:
* formation energy from the elements: -444 meV per atom

a = 3.1732 Å, b = 3.1732 Å, c = 6.5189 Å
α = 90.00°, β = 90.00°, γ = 90.00°
Positions (direct):
Hf (0.0000, 0.0000, 0.8485)
Ti (0.0000, 0.0000, 0.3622)
Zn (0.5000, 0.5000, 0.1287)
Os (0.5000, 0.5000, 0.5884)

(3)
Entry from Alexandria via LeMat-Bulk: a relaxed structure of RbSb2Pb2 (GGA-PBE).

Values from the calculation:
* offset from the most stable computed form: 0 meV/atom

a = 5.3046 Å, b = 5.3046 Å, c = 7.8188 Å
α = 70.17°, β = 70.17°, γ = 90.00°
Positions (direct):
Pb (0.7500, 0.2500, 0.5000)
Pb (0.2500, 0.7500, 0.5000)
Sb (0.3838, 0.3838, 0.2324)
Sb (0.6162, 0.6162, 0.7676)
Rb (0.0000, 0.0000, 0.0000)

(4)
Entry from Alexandria via LeMat-Bulk: a relaxed structure of Zr2CrRe2 (GGA-PBE).

Values from the calculation:
* offset from the most stable computed form: 460 meV/atom
* formation energy from the elements: 541 meV per atom

a = 3.4950 Å, b = 3.4950 Å, c = 8.4522 Å
α = 78.07°, β = 78.07°, γ = 90.00°
Last column: magnetic moment on the atom in μB.
Positions (direct):
Re (0.7500, 0.2500, 0.5000)  -0.02
Re (0.2500, 0.7500, 0.5000)  -0.02
Zr (0.4010, 0.4010, 0.1979)  -0.29
Zr (0.5990, 0.5990, 0.8021)  -0.29
Cr (0.0000, 0.0000, 0.0000)  1.95

(5)
Entry from Alexandria via LeMat-Bulk: a relaxed structure of AlZnPd (GGA-PBE).

Values from the calculation:
* offset from the most stable computed form: 116 meV/atom
* formation energy from the elements: -416 meV per atom

a = 4.2009 Å, b = 4.2009 Å, c = 4.2009 Å
α = 60.00°, β = 60.00°, γ = 60.00°
Positions (direct):
Zn (0.5000, 0.5000, 0.5000)
Al (0.0000, 0.0000, 0.0000)
Pd (0.2500, 0.2500, 0.2500)

(6)
Entry from Alexandria via LeMat-Bulk: a relaxed structure of Ba2CaHPb (GGA-PBE).

Values from the calculation:
* offset from the most stable computed form: 0 meV/atom

a = 5.4375 Å, b = 5.4375 Å, c = 5.4439 Å
α = 90.00°, β = 90.00°, γ = 90.00°
Positions (direct):
Pb (0.5000, 0.5000, 0.5000)
H (0.0000, 0.0000, 0.0000)
Ca (0.0000, 0.0000, 0.5000)
Ba (0.0000, 0.5000, 0.0000)
Ba (0.5000, 0.0000, 0.0000)

(7)
Entry from Alexandria via LeMat-Bulk: a relaxed structure of ZnTc (GGA-PBE).

Values from the calculation:
* offset from the most stable computed form: 98 meV/atom
* formation energy from the elements: 57 meV per atom

a = 4.0299 Å, b = 4.0304 Å, c = 4.5109 Å
α = 116.52°, β = 116.52°, γ = 90.01°
Positions (direct):
Zn (0.3750, 0.6249, 0.7500)
Zn (0.6250, 0.3751, 0.2500)
Tc (0.1249, 0.8751, 0.2500)
Tc (0.8751, 0.1249, 0.7500)

(8)
Entry from Alexandria via LeMat-Bulk: a relaxed structure of LiPaRh4 (GGA-PBE).

Values from the calculation:
* offset from the most stable computed form: 13 meV/atom
* formation energy from the elements: -471 meV per atom

a = 3.7142 Å, b = 4.9655 Å, c = 6.4070 Å
α = 106.93°, β = 73.15°, γ = 68.04°
Positions (direct):
Li (0.5000, 0.5000, 0.5000)
Pa (0.0000, 0.0000, 0.0000)
Rh (0.8394, 0.5045, 0.8168)
Rh (0.3210, 0.0149, 0.3430)
Rh (0.1606, 0.4955, 0.1832)
Rh (0.6790, 0.9851, 0.6570)

(9)
Entry from Alexandria via LeMat-Bulk: a relaxed structure of NbBSCl2 (GGA-PBE).

Values from the calculation:
* offset from the most stable computed form: 0 meV/atom

a = 4.9014 Å, b = 4.9014 Å, c = 4.8143 Å
α = 90.00°, β = 90.00°, γ = 90.00°
Last column: magnetic moment on the atom in μB.
Positions (direct):
Nb (0.0000, 0.0000, 0.0000)  0.21
B (0.5000, 0.5000, 0.5000)  0.18
S (0.0000, 0.0000, 0.5000)  -0.01
Cl (0.0000, 0.5000, 0.0000)  0.00
Cl (0.5000, 0.0000, 0.0000)  0.00

(10)
Entry from Alexandria via LeMat-Bulk: a relaxed structure of Na3SbI (GGA-PBE).

Values from the calculation:
* offset from the most stable computed form: 0 meV/atom

a = 7.0777 Å, b = 10.4427 Å, c = 10.4427 Å
α = 65.65°, β = 92.16°, γ = 92.16°
Positions (direct):
Na (0.6112, 0.8094, 0.9852)
Na (0.8888, 0.0148, 0.1906)
Na (0.3888, 0.1906, 0.0148)
Na (0.1112, 0.9852, 0.8094)
Na (0.8259, 0.3975, 0.9823)
Na (0.6741, 0.0177, 0.6025)
Na (0.1741, 0.6025, 0.0177)
Na (0.3259, 0.9823, 0.3975)
Na (0.5584, 0.5929, 0.6354)
Na (0.9416, 0.3646, 0.4071)
Na (0.4416, 0.4071, 0.3646)
Na (0.0584, 0.6354, 0.5929)
Sb (0.8442, 0.7219, 0.7921)
Sb (0.6558, 0.2079, 0.2781)
Sb (0.1558, 0.2781, 0.2079)
Sb (0.3442, 0.7921, 0.7219)
I (0.2500, 0.8622, 0.1378)
I (0.7500, 0.1378, 0.8622)
I (0.2500, 0.3492, 0.6508)
I (0.7500, 0.6508, 0.3492)

(11)
Entry from Alexandria via LeMat-Bulk: a relaxed structure of Np2Cr2WC4 (GGA-PBE).

Values from the calculation:
* formation energy from the elements: 10 meV per atom

a = 2.9904 Å, b = 6.8595 Å, c = 5.5299 Å
α = 102.06°, β = 90.00°, γ = 102.59°
Last column: magnetic moment on the atom in μB.
Positions (direct):
Np (0.8744, 0.7488, 0.4698)  2.72
Np (0.1256, 0.2512, 0.5302)  2.72
Cr (0.3209, 0.6418, 0.9653)  -0.23
Cr (0.6791, 0.3582, 0.0347)  -0.23
W (0.0000, 0.0000, 0.0000)  -0.09
C (0.7559, 0.5118, 0.7566)  -0.05
C (0.2441, 0.4882, 0.2434)  -0.05
C (0.4580, 0.9159, 0.2373)  -0.07
C (0.5420, 0.0841, 0.7627)  -0.07

(12)
Entry from Alexandria via LeMat-Bulk: a relaxed structure of YEr2Lu (GGA-PBE).

Values from the calculation:
* offset from the most stable computed form: 1 meV/atom
* formation energy from the elements: 30 meV per atom

a = 4.9684 Å, b = 4.9649 Å, c = 4.9649 Å
α = 90.00°, β = 90.00°, γ = 90.00°
Positions (direct):
Y (0.5000, 0.0000, 0.0000)
Lu (0.5000, 0.5000, 0.5000)
Er (0.0000, 0.0000, 0.5000)
Er (0.0000, 0.5000, 0.0000)

(13)
Entry from Alexandria via LeMat-Bulk: a relaxed structure of ErSb2Pd2 (GGA-PBE).

Values from the calculation:
* uncorrected energy: -5.343 eV per atom

a = 4.5507 Å, b = 4.6182 Å, c = 11.0242 Å
α = 100.63°, β = 90.00°, γ = 90.00°
Positions (direct):
Er (0.7500, 0.3168, 0.6905)
Er (0.2500, 0.6832, 0.3095)
Sb (0.7500, 0.2479, 0.9989)
Sb (0.2500, 0.7941, 0.6477)
Sb (0.2500, 0.7521, 0.0011)
Sb (0.7500, 0.2059, 0.3523)
Pd (0.2500, 0.2138, 0.4899)
Pd (0.7500, 0.7905, 0.1447)
Pd (0.2500, 0.2095, 0.8553)
Pd (0.7500, 0.7862, 0.5101)

(14)
Entry from Alexandria via LeMat-Bulk: a relaxed structure of ZrAlAg (GGA-PBE).

Values from the calculation:
* formation energy from the elements: -213 meV per atom

a = 7.0137 Å, b = 3.9129 Å, c = 4.3406 Å
α = 90.00°, β = 107.95°, γ = 90.00°
Positions (direct):
Zr (0.6801, 0.3880, 0.0633)
Zr (0.0231, 0.3880, 0.7354)
Al (0.0324, 0.8880, 0.2400)
Al (0.3492, 0.8880, 0.8979)
Ag (0.6707, 0.8880, 0.5588)
Ag (0.3505, 0.3880, 0.3985)

(15)
Entry from Alexandria via LeMat-Bulk: a relaxed structure of Tb2Pm3Ge2 (GGA-PBE).

Values from the calculation:
* formation energy from the elements: -518 meV per atom

a = 4.2292 Å, b = 6.3600 Å, c = 8.4287 Å
α = 109.20°, β = 90.00°, γ = 109.42°
Positions (direct):
Tb (0.8494, 0.6988, 0.1961)
Tb (0.1506, 0.3012, 0.8039)
Pm (0.5000, 0.0000, 0.0000)
Pm (0.6293, 0.2586, 0.4393)
Pm (0.3707, 0.7414, 0.5607)
Ge (0.8237, 0.6473, 0.8038)
Ge (0.1763, 0.3527, 0.1962)

(16)
Entry from Alexandria via LeMat-Bulk: a relaxed structure of BaLaHg2Ru (GGA-PBE).

Values from the calculation:
* formation energy from the elements: -251 meV per atom

a = 5.5652 Å, b = 5.5652 Å, c = 5.0058 Å
α = 90.00°, β = 90.00°, γ = 90.00°
Positions (direct):
Ba (0.5000, 0.5000, 0.5000)
Ru (0.0000, 0.0000, 0.0000)
Hg (0.0000, 0.5000, 0.0000)
Hg (0.5000, 0.0000, 0.0000)
La (0.0000, 0.0000, 0.5000)

(17)
Entry from Alexandria via LeMat-Bulk: a relaxed structure of TbPm2Pr3Tm6 (GGA-PBE).

Values from the calculation:
* formation energy from the elements: 18 meV per atom

a = 6.2142 Å, b = 6.2142 Å, c = 11.7263 Å
α = 95.05°, β = 95.05°, γ = 119.98°
Positions (direct):
Tb (0.0000, 0.0000, 0.0000)
Pm (0.3335, 0.6665, 0.0000)
Pm (0.6665, 0.3335, 0.0000)
Pr (0.1668, 0.8332, 0.5000)
Pr (0.8332, 0.1668, 0.5000)
Pr (0.5000, 0.5000, 0.5000)
Tm (0.9173, 0.5842, 0.7523)
Tm (0.7497, 0.7497, 0.2479)
Tm (0.0827, 0.4158, 0.2477)
Tm (0.5842, 0.9173, 0.7523)
Tm (0.2503, 0.2503, 0.7521)
Tm (0.4158, 0.0827, 0.2477)

(18)
Entry from Alexandria via LeMat-Bulk: a relaxed structure of CaAsPt3 (GGA-PBE).

Values from the calculation:
* offset from the most stable computed form: 2015 meV/atom
* formation energy from the elements: 1296 meV per atom

a = 4.9296 Å, b = 4.9296 Å, c = 4.9296 Å
α = 90.00°, β = 90.00°, γ = 90.00°
Positions (direct):
As (0.5000, 0.5000, 0.5000)
Ca (0.0000, 0.0000, 0.0000)
Pt (0.0000, 0.5000, 0.0000)
Pt (0.0000, 0.0000, 0.5000)
Pt (0.5000, 0.0000, 0.0000)

(19)
Entry from Alexandria via LeMat-Bulk: a relaxed structure of Sc2BeIrN (GGA-PBE).

Values from the calculation:
* offset from the most stable computed form: 0 meV/atom

a = 4.5410 Å, b = 4.5410 Å, c = 3.2959 Å
α = 90.00°, β = 90.00°, γ = 90.00°
Positions (direct):
Sc (0.0000, 0.5000, 0.0000)
Sc (0.5000, 0.0000, 0.0000)
Be (0.0000, 0.0000, 0.5000)
Ir (0.5000, 0.5000, 0.5000)
N (0.0000, 0.0000, 0.0000)

(20)
Entry from Alexandria via LeMat-Bulk: a relaxed structure of TlBi3Rh (GGA-PBE).

Values from the calculation:
* offset from the most stable computed form: 291 meV/atom
* formation energy from the elements: 226 meV per atom

a = 5.4044 Å, b = 5.4044 Å, c = 5.4044 Å
α = 90.00°, β = 90.00°, γ = 90.00°
Positions (direct):
Tl (0.5000, 0.5000, 0.5000)
Rh (0.0000, 0.0000, 0.0000)
Bi (0.0000, 0.5000, 0.0000)
Bi (0.0000, 0.0000, 0.5000)
Bi (0.5000, 0.0000, 0.0000)